(1)
A plane-wave DFT calculation with PBE was carried out for crystalline Mg2CuSiS4 at its relaxed geometry.

Results
electronic total energy: -4.346 eV/atom
calculated volume: 336 Å³/cell
density: 2.7 g/cm3

a = 5.568 Å, b = 5.568 Å, c = 10.845 Å
α = 90.00°, β = 90.00°, γ = 90.00°
Space group I-42m (No. 121)
Unique sites:
Mg1 0.000 0.500 0.250
Cu1 0.000 0.000 0.000
Si1 0.000 0.000 0.500
S1 0.248 0.248 0.614

(2)
A plane-wave DFT calculation with PBE was carried out for crystalline SmMgCuS3 at its relaxed geometry.

Results
electronic total energy: -4.998 eV/atom
calculated volume: 476 Å³/cell
density: 4.7 g/cm3

a = 3.734 Å, b = 12.108 Å, c = 10.537 Å
α = 90.00°, β = 90.00°, γ = 90.00°
Space group Cmcm (No. 63)
Unique sites:
Sm1 0.000 0.000 0.000
Mg1 0.000 0.236 0.250
Cu1 0.000 0.480 0.750
S1 0.000 0.100 0.750
S2 0.000 0.351 0.589

(3)
A plane-wave DFT calculation with PBE was carried out for crystalline TbMgCuS3 at its relaxed geometry.

Results
E above lowest polymorph: 2.3 meV/atom
calculated volume: 466 Å³/cell
density: 4.9 g/cm3

a = 3.708 Å, b = 12.098 Å, c = 10.379 Å
α = 90.00°, β = 90.00°, γ = 90.00°
Space group Cmcm (No. 63)
Unique sites:
Tb1 0.000 0.000 0.000
Mg1 0.000 0.237 0.250
Cu1 0.000 0.479 0.750
S1 0.000 0.100 0.750
S2 0.000 0.352 0.585